1.
Material: CaZnIn2
Method: DFT, PBE
State: relaxed

Results
The value obtained for the energy of formation from the pure elements is -0.0553 eV per atom. The size of the total moment comes out at 0.00 μB per formula unit. The value obtained for the calculated total energy is -26.92 eV for the cell shown. The value obtained for the density of states at the Fermi level is 2.80 states/eV/f.u.

Unit cell a=3.5177 b=3.5177 c=29.0734 alpha=90.00 beta=90.00 gamma=120.00
Space group R-3m (No. 166, hexagonal axes)
Inequivalent atoms, fractional coordinates:
Ca (0.0000, 0.0000, 0.0000) x3
Zn (0.0000, 0.0000, 0.5000) x3
In (0.0000, 0.0000, 0.2408) x6

***

2.
Material: Zr2CoTc
Method: DFT, PBE
State: relaxed

Results
The value obtained for the energy of formation from the pure elements is 0.2128 eV per atom. The size of the total moment comes out at 0.00 μB per formula unit. For the excess energy over the best structure of this formula in the dataset, the calculation gives 0.587 eV/atom. The value obtained for the calculated total energy is -134.87 eV for the cell shown. The value obtained for the density of states at the Fermi level is 3.17 states/eV/f.u.

Unit cell a=7.012 b=7.012 c=5.837 alpha=90.00 beta=90.00 gamma=90.00
Space group I-42d (No. 122)
Inequivalent atoms, fractional coordinates:
Zr (0.231, 0.250, 0.125) x8
Co (0.000, 0.000, 0.000) x4
Tc (0.000, 0.000, 0.500) x4

***

3.
Material: Pr2GdPb
Method: DFT, PBE
State: relaxed

Results
The value obtained for the energy of formation from the pure elements is -0.1934 eV per atom. The size of the total moment comes out at 8.14 μB per formula unit. For the excess energy over the best structure of this formula in the dataset, the calculation gives 0.148 eV/atom. The value obtained for the calculated total energy is -112.49 eV for the cell shown. The value obtained for the density of states at the Fermi level is 5.58 states/eV/f.u.

Unit cell a=7.972 b=7.972 c=7.972 alpha=90.00 beta=90.00 gamma=90.00
Space group Fm-3m (No. 225)
Inequivalent atoms, fractional coordinates:
Pr (0.250, 0.250, 0.250) x8
Gd (0.000, 0.000, 0.000) x4
Pb (0.000, 0.000, 0.500) x4

***

4.
Material: AlTcN2F
Method: DFT, PBE
State: relaxed

Results
The size of the total moment comes out at 0.00 μB per formula unit. For the excess energy over the best structure of this formula in the dataset, the calculation gives 0.163 eV/atom. The value obtained for the calculated total energy is -32.23 eV for the cell shown. For the raw formation energy, the calculation gives 38 kJ/mol of formula units. The value obtained for the density of states at the Fermi level is 3.04 states/eV/f.u.

Unit cell a=3.893 b=3.893 c=4.194 alpha=90.00 beta=90.00 gamma=90.00
Space group P4/mmm (No. 123)
Inequivalent atoms, fractional coordinates:
Al (0.000, 0.000, 0.000) x1
Tc (0.500, 0.500, 0.500) x1
N (0.000, 0.500, 0.500) x2
F (0.500, 0.500, 0.000) x1

***

5.
Material: CsGeSe2
Method: DFT, PBE
State: relaxed

Results
The size of the total moment comes out at 0.00 μB per formula unit. The value obtained for the calculated total energy is -60.15 eV for the cell shown. For the raw formation energy, the calculation gives -251 kJ/mol of formula units. The value obtained for the density of states at the Fermi level is 1.87 states/eV/f.u.

Unit cell a=13.990 b=7.314 c=6.294 alpha=90.00 beta=112.61 gamma=90.00
Space group C2/m (No. 12)
Inequivalent atoms, fractional coordinates:
Cs (0.184, 0.000, 0.218) x4
Ge (0.003, 0.500, 0.740) x4
Se (0.000, 0.204, 0.500) x4
Se (0.149, 0.500, 0.134) x4

***

6.
Material: TmInAs2O8
Method: DFT, PBE
State: relaxed

Results
The size of the total moment comes out at 0.00 μB per formula unit. The value obtained for the calculated total energy is -157.03 eV for the cell shown. For the raw formation energy, the calculation gives -2156 kJ/mol of formula units. The value obtained for the density of states at the Fermi level is 0.00 states/eV/f.u.

Unit cell a=7.034 b=7.034 c=6.278 alpha=90.00 beta=90.00 gamma=90.00
Space group I-4m2 (No. 119)
Inequivalent atoms, fractional coordinates:
Tm (0.000, 0.000, 0.000) x2
In (0.000, 0.500, 0.750) x2
As (0.000, 0.000, 0.500) x2
As (0.000, 0.500, 0.250) x2
O (0.000, 0.183, 0.683) x8
O (0.000, 0.318, 0.068) x8

***

7.
Material: Zr2ScGa6
Method: DFT, PBE
State: relaxed

Results
The value obtained for the energy of formation from the pure elements is -0.3976 eV per atom. The size of the total moment comes out at 0.00 μB per formula unit. For the excess energy over the best structure of this formula in the dataset, the calculation gives 0.092 eV/atom. The value obtained for the calculated total energy is -90.33 eV for the cell shown. The value obtained for the density of states at the Fermi level is 5.30 states/eV/f.u.

Unit cell a=4.116 b=6.484 c=13.179 alpha=90.00 beta=90.00 gamma=90.00
Space group Immm (No. 71)
Inequivalent atoms, fractional coordinates:
Zr (0.000, 0.000, 0.118) x4
Sc (0.000, 0.500, 0.000) x2
Ga (0.000, 0.204, 0.310) x8
Ga (0.000, 0.298, 0.500) x4

***

8.
Material: Cs2MgSe2O6
Method: DFT, PBE
State: relaxed

Results
The size of the total moment comes out at 0.00 μB per formula unit. The value obtained for the calculated total energy is -167.39 eV for the cell shown. For the raw formation energy, the calculation gives -1522 kJ/mol of formula units. The value obtained for the density of states at the Fermi level is 0.00 states/eV/f.u.

Unit cell a=5.9712 b=5.9712 c=22.7973 alpha=90.00 beta=90.00 gamma=120.00
Space group R-3m (No. 166, hexagonal axes)
Inequivalent atoms, fractional coordinates:
Cs (0.0000, 0.0000, 0.2484) x6
Mg (0.0000, 0.0000, 0.0000) x3
Se (0.0000, 0.0000, 0.4141) x6
O (0.0251, 0.5125, 0.2818) x18

***

9.
Material: MgAs2I8
Method: DFT, PBE
State: relaxed

Results
The size of the total moment comes out at 0.00 μB per formula unit. For the excess energy over the best structure of this formula in the dataset, the calculation gives 0.059 eV/atom. The value obtained for the calculated total energy is -53.97 eV for the cell shown. For the raw formation energy, the calculation gives -356 kJ/mol of formula units. The value obtained for the density of states at the Fermi level is 0.00 states/eV/f.u.

Unit cell a=11.551 b=12.896 c=7.657 alpha=90.00 beta=98.76 gamma=90.00
Space group C2/m (No. 12)
Inequivalent atoms, fractional coordinates:
Mg (0.000, 0.000, 0.000) x2
As (0.187, 0.000, 0.607) x4
I (0.094, 0.500, 0.260) x4
I (0.099, 0.162, 0.788) x8
I (0.225, 0.000, 0.239) x4

***

10.
Material: Nd3CdHg4
Method: DFT, PBE
State: relaxed

Results
The value obtained for the energy of formation from the pure elements is -0.4338 eV per atom. The size of the total moment comes out at 0.00 μB per formula unit. For the excess energy over the best structure of this formula in the dataset, the calculation gives 0.000 eV/atom. The value obtained for the calculated total energy is -59.69 eV for the cell shown. The value obtained for the density of states at the Fermi level is 6.21 states/eV/f.u.

Unit cell a=5.2427 b=5.2427 c=27.2181 alpha=90.00 beta=90.00 gamma=120.00
Space group R-3m (No. 166, hexagonal axes)
Inequivalent atoms, fractional coordinates:
Nd (0.0000, 0.0000, 0.0000) x3
Nd (0.0000, 0.0000, 0.2399) x6
Cd (0.0000, 0.0000, 0.5000) x3
Hg (0.0000, 0.0000, 0.1228) x6
Hg (0.0000, 0.0000, 0.3712) x6

***

11.
Material: Mn4FeP
Method: DFT, PBE
State: relaxed

Results
The value obtained for the energy of formation from the pure elements is 0.3711 eV per atom. The size of the total moment comes out at 6.29 μB per formula unit. The value obtained for the calculated total energy is -193.30 eV for the cell shown. The value obtained for the density of states at the Fermi level is 10.05 states/eV/f.u.

Unit cell a=6.544 b=6.544 c=6.544 alpha=90.00 beta=90.00 gamma=90.00
Space group F-43m (No. 216)
Inequivalent atoms, fractional coordinates:
Mn (0.125, 0.125, 0.125) x16
Fe (0.000, 0.000, 0.500) x4
P (0.250, 0.250, 0.750) x4

***

12.
Material: NaCa2InCu
Method: DFT, PBE
State: relaxed

Results
The value obtained for the energy of formation from the pure elements is -0.0698 eV per atom. The size of the total moment comes out at 0.00 μB per formula unit. The value obtained for the calculated total energy is -12.51 eV for the cell shown. The value obtained for the density of states at the Fermi level is 3.30 states/eV/f.u.

Unit cell a=5.651 b=5.651 c=4.971 alpha=90.00 beta=90.00 gamma=90.00
Space group P4/mmm (No. 123)
Inequivalent atoms, fractional coordinates:
Na (0.000, 0.000, 0.000) x1
Ca (0.000, 0.500, 0.500) x2
In (0.500, 0.500, 0.000) x1
Cu (0.500, 0.500, 0.500) x1

***

13.
Material: Nd3HgP2
Method: DFT, PBE
State: relaxed

Results
The value obtained for the energy of formation from the pure elements is -0.8361 eV per atom. The size of the total moment comes out at 0.00 μB per formula unit. The value obtained for the calculated total energy is -121.77 eV for the cell shown. The value obtained for the density of states at the Fermi level is 4.13 states/eV/f.u.

Unit cell a=4.912 b=13.103 c=10.517 alpha=90.00 beta=90.00 gamma=90.00
Space group Cmcm (No. 63)
Inequivalent atoms, fractional coordinates:
Nd (0.000, 0.093, 0.250) x4
Nd (0.000, 0.374, 0.049) x8
Hg (0.000, 0.232, 0.750) x4
P (0.000, 0.000, 0.000) x4
P (0.000, 0.491, 0.750) x4